A plane-wave DFT calculation with PBE-GGA was carried out for Pr6TlZn5 after structural relaxation.

Cell and atoms, written as POSCAR:
```
Pr6TlZn5
1.0
-2.395 1.678 4.425
1.488 -6.568 3.297
5.756 3.750 4.873
Zn Pr Tl
5 6 1
direct
0.000 0.500 0.000 Zn
0.334 0.500 0.332 Zn
0.668 0.000 0.664 Zn
0.666 0.500 0.668 Zn
0.332 0.000 0.336 Zn
0.171 0.257 0.658 Pr
0.829 0.743 0.342 Pr
0.829 0.257 0.342 Pr
0.171 0.743 0.658 Pr
0.500 0.739 0.000 Pr
0.500 0.261 0.000 Pr
0.000 0.000 0.000 Tl
```

Values from the calculation:
Space group = Cmmm (65)
ΔE_f = -3.7 eV per formula unit
Theoretical density = 7.19 g/cm3
DOS at the Fermi energy = 1.1676 states/eV per atom

=====

A plane-wave DFT calculation with PBE-GGA was carried out for Na2ZrTl after structural relaxation.

Cell and atoms, written as POSCAR:
```
Na2ZrTl
1.0
-0.003 -4.092 -3.193
-4.487 -2.225 -1.363
-1.774 0.496 -4.852
Tl Zr Na
1 1 2
direct
0.500 0.500 0.500 Tl
0.000 0.000 0.000 Zr
0.250 0.250 0.250 Na
0.750 0.750 0.750 Na
```

Values from the calculation:
Space group = Fm-3m (225)
Energy above the most stable polymorph in this dataset = 0.272 eV per atom
ΔE_f = 2.3 eV per formula unit
Theoretical density = 5.74 g/cm3
DOS at the Fermi energy = 0.6371 states/eV per atom

=====

A plane-wave DFT calculation with PBE-GGA was carried out for Cs3TiS3 after structural relaxation.

Cell and atoms, written as POSCAR:
```
Cs3TiS3
1.0
8.453 -0.020 0.000
-1.750 8.691 0.000
0.000 0.000 13.936
Cs S Ti
12 12 4
direct
0.747 0.389 0.933 Cs
0.247 0.889 0.567 Cs
0.217 0.084 0.303 Cs
0.121 0.520 0.356 Cs
0.283 0.416 0.803 Cs
0.879 0.480 0.644 Cs
0.783 0.916 0.697 Cs
0.253 0.611 0.067 Cs
0.717 0.584 0.197 Cs
0.753 0.111 0.433 Cs
0.621 0.020 0.144 Cs
0.379 0.980 0.856 Cs
0.539 0.201 0.647 S
0.475 0.613 0.607 S
0.139 0.259 0.541 S
0.361 0.241 0.041 S
0.961 0.299 0.147 S
0.861 0.741 0.459 S
0.525 0.387 0.393 S
0.461 0.799 0.353 S
0.975 0.113 0.893 S
0.639 0.759 0.959 S
0.025 0.887 0.107 S
0.039 0.701 0.853 S
0.914 0.857 0.951 Ti
0.414 0.357 0.549 Ti
0.086 0.143 0.049 Ti
0.586 0.643 0.451 Ti
```

Values from the calculation:
Raw formation energy = -1288 meV/atom
Space group = P2_1/c (14)
Theoretical density = 3.52 g/cm3

=====

A plane-wave DFT calculation with PBE-GGA was carried out for FeTe5 after structural relaxation.

Cell and atoms, written as POSCAR:
```
FeTe5
1.0
1.999 -7.413 0.000
1.999 7.413 0.000
0.000 0.000 6.099
Te Fe
5 1
direct
0.676 0.324 0.000 Te
0.708 0.292 0.500 Te
0.403 0.597 0.500 Te
0.056 0.944 0.500 Te
0.435 0.565 0.000 Te
0.056 0.944 0.000 Fe
```

Values from the calculation:
Raw formation energy = 78 meV/atom
Space group = Cmmm (65)
Theoretical density = 6.37 g/cm3
DOS at the Fermi energy = 0.8818 states/eV per atom

=====

A plane-wave DFT calculation with PBE-GGA was carried out for Ac2LaIrRh after structural relaxation.

Cell and atoms, written as POSCAR:
```
Ac2LaIrRh
1.0
4.237 0.000 0.000
-2.118 6.979 0.000
0.000 0.000 10.356
La Ac Ir Rh
2 4 2 2
direct
0.905 0.809 0.750 La
0.095 0.191 0.250 La
0.359 0.718 0.066 Ac
0.641 0.282 0.566 Ac
0.641 0.282 0.934 Ac
0.359 0.718 0.434 Ac
0.000 0.000 0.000 Ir
0.000 0.000 0.500 Ir
0.736 0.471 0.250 Rh
0.264 0.529 0.750 Rh
```

Values from the calculation:
Space group = Cmcm (63)
ΔE_f = -3.2 eV per formula unit
Theoretical density = 9.63 g/cm3
DOS at the Fermi energy = 0.5809 states/eV per atom

=====

A plane-wave DFT calculation with PBE-GGA was carried out for TmNbCo after structural relaxation.

Cell and atoms, written as POSCAR:
```
TmNbCo
1.0
5.064 0.000 0.000
2.532 4.701 0.000
2.532 0.000 9.084
Co Nb Tm
4 4 4
direct
0.875 0.500 0.250 Co
0.875 0.000 0.250 Co
0.625 0.500 0.750 Co
0.125 0.000 0.750 Co
0.332 0.500 0.336 Nb
0.582 0.000 0.836 Nb
0.418 0.000 0.164 Nb
0.168 0.500 0.664 Nb
0.162 0.676 0.000 Tm
0.588 0.824 0.500 Tm
0.912 0.176 0.500 Tm
0.838 0.324 0.000 Tm
```

Values from the calculation:
Space group = Fddd (70)
Energy above the most stable polymorph in this dataset = 0.000 eV per atom
ΔE_f = -0.2 eV per formula unit
Theoretical density = 9.85 g/cm3
DOS at the Fermi energy = 0.8593 states/eV per atom

=====

A plane-wave DFT calculation with PBE-GGA was carried out for Be2TeP after structural relaxation.

Cell and atoms, written as POSCAR:
```
Be2TeP
1.0
-0.508 0.412 -4.268
-3.489 -2.307 1.072
-1.735 2.847 0.481
Be P Te
2 1 1
direct
0.500 0.500 0.000 Be
0.000 0.000 0.000 Be
0.500 0.000 0.500 P
0.000 0.500 0.500 Te
```

Values from the calculation:
Raw formation energy = 749 meV/atom
Space group = Cmmm (65)
Energy above the most stable polymorph in this dataset = 0.879 eV per atom
Theoretical density = 4.77 g/cm3
DOS at the Fermi energy = 0.4242 states/eV per atom

=====

A plane-wave DFT calculation with PBE-GGA was carried out for Nd7Sm2Tm after structural relaxation.

Cell and atoms, written as POSCAR:
```
Nd7Sm2Tm
1.0
5.512 0.000 0.000
0.000 9.559 -0.728
0.000 -4.962 8.203
Nd Tm Sm
7 1 2
direct
0.000 0.211 0.789 Nd
0.500 0.290 0.071 Nd
0.500 0.710 0.929 Nd
0.000 0.789 0.211 Nd
0.500 0.929 0.710 Nd
0.500 0.500 0.500 Nd
0.500 0.071 0.290 Nd
0.000 0.000 0.000 Tm
0.500 0.294 0.706 Sm
0.500 0.706 0.294 Sm
```

Values from the calculation:
Space group = Cmmm (65)
ΔE_f = 6.3 eV per formula unit
Theoretical density = 5.96 g/cm3
DOS at the Fermi energy = 1.5379 states/eV per atom

=====

> Number 8 is which compound?

Nd7Sm2Tm

=====

> What is the theoretical density in the sixth record?

9.85 g/cm3